1.
! BeAgMo2 | Alexandria | PBE | relaxed; values from VASP
! ΔH_f (0 K) in eV per atom: 0.260
! ρ in g/cm³: 8.87
&SYSTEM
  ibrav = 0, nat = 4, ntyp = 3
/
ATOMIC_SPECIES
Be 9.01 Be.upf
Mo 95.94 Mo.upf
Ag 107.87 Ag.upf
ATOMIC_POSITIONS crystal
Be 0.5000 0.5000 0.7499
Mo 0.0000 0.0000 0.9623
Mo 0.5000 0.5000 0.2497
Ag 0.0000 0.0000 0.5382
CELL_PARAMETERS angstrom
2.6771 0.0000 0.0000
0.0000 2.6771 0.0000
0.0000 0.0000 8.0651

=====

2.
! Rb2LaHfF6 | Alexandria | PBE | relaxed; values from VASP
! Total energy in hartree per atom: -0.2047
! ρ in g/cm³: 4.60
&SYSTEM
  ibrav = 0, nat = 10, ntyp = 4
/
ATOMIC_SPECIES
F 19.00 F.upf
Hf 178.49 Hf.upf
Rb 85.47 Rb.upf
La 138.91 La.upf
ATOMIC_POSITIONS crystal
F 0.2152 0.2152 0.5696
F 0.7848 0.7848 0.4304
F 0.2145 0.2145 0.0000
F 0.7855 0.7855 0.0000
F 0.7855 0.2145 0.0000
F 0.2145 0.7855 0.0000
Hf 0.0000 0.0000 0.0000
Rb 0.7500 0.2500 0.5000
Rb 0.2500 0.7500 0.5000
La 0.5000 0.5000 0.0000
CELL_PARAMETERS angstrom
6.7545 0.0000 0.0000
0.0000 6.7545 0.0000
3.3772 3.3772 4.7607

=====

3.
! NbGa2Rh2 | Alexandria | PBE | relaxed; values from VASP
! ΔH_f (0 K) in eV per atom: -0.231
! ρ in g/cm³: 8.99
&SYSTEM
  ibrav = 0, nat = 5, ntyp = 3
/
ATOMIC_SPECIES
Nb 92.91 Nb.upf
Rh 102.91 Rh.upf
Ga 69.72 Ga.upf
ATOMIC_POSITIONS crystal
Nb 0.0000 0.0000 0.0000
Rh 0.3978 0.3978 0.2044
Rh 0.6022 0.6022 0.7956
Ga 0.7500 0.2500 0.5000
Ga 0.2500 0.7500 0.5000
CELL_PARAMETERS angstrom
3.5801 0.0000 0.0000
0.0000 3.5801 0.0000
1.7901 1.7901 6.3154

=====

4.
! Ce8Ge3Se4Cl | Alexandria | PBE | relaxed; values from VASP
! Total energy in hartree per atom: -0.2285
! ρ in g/cm³: 6.64
&SYSTEM
  ibrav = 0, nat = 16, ntyp = 4
/
ATOMIC_SPECIES
Ce 140.12 Ce.upf
Ge 72.64 Ge.upf
Se 78.96 Se.upf
Cl 35.45 Cl.upf
ATOMIC_POSITIONS crystal
Ce 0.2508 0.7478 0.9970
Ce 0.2509 0.7479 0.5017
Ce 0.2510 0.2531 0.5021
Ce 0.7463 0.7478 0.9970
Ce 0.2537 0.2522 0.0030
Ce 0.7490 0.7469 0.4979
Ce 0.7491 0.2521 0.4983
Ce 0.7492 0.2522 0.0030
Ge 0.5000 0.5000 0.0000
Ge 0.5000 0.5000 0.5000
Ge 0.0000 0.5000 0.5000
Se 0.5000 0.0000 0.0000
Se 0.5000 0.0000 0.5000
Se 0.0000 0.0000 0.0000
Se 0.0000 0.0000 0.5000
Cl 0.0000 0.5000 0.0000
CELL_PARAMETERS angstrom
8.4236 0.0000 0.0000
0.0000 8.4248 -0.0067
-4.2118 -4.2086 5.9620

=====

5.
! Tl2AsW | Alexandria | PBE | relaxed; values from VASP
! ΔH_f (0 K) in eV per atom: 0.844
! ρ in g/cm³: 12.11
&SYSTEM
  ibrav = 0, nat = 4, ntyp = 3
/
ATOMIC_SPECIES
Tl 204.38 Tl.upf
As 74.92 As.upf
W 183.84 W.upf
ATOMIC_POSITIONS crystal
Tl 0.0000 0.2218 0.0035
Tl 0.0000 0.2782 0.4965
As 0.5000 0.7500 0.7500
W 0.5000 0.2500 0.2500
CELL_PARAMETERS angstrom
5.3869 0.0000 0.0000
0.0000 3.3887 0.0086
0.0000 3.1304 5.0226

=====

6.
! Mg3In3CuRh2 | Alexandria | PBE | relaxed; values from VASP
! ΔH_f (0 K) in eV per atom: -0.290
! ρ in g/cm³: 6.92
&SYSTEM
  ibrav = 0, nat = 9, ntyp = 4
/
ATOMIC_SPECIES
Mg 24.30 Mg.upf
In 114.82 In.upf
Cu 63.55 Cu.upf
Rh 102.91 Rh.upf
ATOMIC_POSITIONS crystal
Mg 0.0000 0.6130 0.6130
Mg 0.0000 0.0000 0.3870
Mg 0.0000 0.3870 0.0000
In 0.5000 0.7125 0.0000
In 0.5000 0.0000 0.7125
In 0.5000 0.2875 0.2875
Cu 0.0000 0.0000 0.0000
Rh 0.5000 0.6667 0.3333
Rh 0.5000 0.3333 0.6667
CELL_PARAMETERS angstrom
3.1935 0.0000 0.0000
0.0000 7.7215 0.0000
0.0000 -3.8608 6.6870